Run one
This record from the Open Quantum Materials Database describes an optimized crystal structure of RbGdAsO. The functional is GGA-PBE.

Calculated values
- mass density (kg/m3) = 5823
- magnetization (μB/atom) = 0.00

a = 4.166 Å, b = 4.166 Å, c = 10.964 Å
α = 90.00°, β = 90.00°, γ = 90.00°
Space group P4/nmm (No. 129, origin choice 2)
Symmetry-distinct sites (fractional):
Rb 0.250 0.750 0.000 x2
Gd 0.250 0.250 0.409 x2
As 0.250 0.250 0.763 x2
O 0.250 0.750 0.500 x2



Run two
This record from the Open Quantum Materials Database describes an optimized crystal structure of RbGdAsO. The functional is GGA-PBE.

Calculated values
- mass density (kg/m3) = 5886
- magnetization (μB/atom) = 0.00

a = 5.954 Å, b = 5.954 Å, c = 5.310 Å
α = 90.00°, β = 90.00°, γ = 90.00°
Space group P4/nmm (No. 129, origin choice 2)
Symmetry-distinct sites (fractional):
Rb 0.250 0.250 0.001 x2
Gd 0.250 0.750 0.500 x2
As 0.250 0.250 0.501 x2
O 0.250 0.750 0.000 x2



Run three
This record from the Open Quantum Materials Database describes an optimized crystal structure of RbGdAsO. The functional is GGA-PBE.

Calculated values
- mass density (kg/m3) = 4878
- magnetization (μB/atom) = 0.00

a = 3.506 Å, b = 8.122 Å, c = 7.978 Å
α = 90.00°, β = 90.00°, γ = 90.00°
Space group Pmc2_1 (No. 26)
Symmetry-distinct sites (fractional):
Rb 0.000 0.049 0.000 x2
Gd 0.500 0.375 0.355 x2
As 0.500 0.297 0.713 x2
O 0.000 0.247 0.281 x2



Of them, run two has the lowest stability.